Entry from Alexandria via LeMat-Bulk: a crystal of La2NiSb relaxed with PBEsol (SCAN).

- SG = R3m (160)
- crystal system = trigonal

```
La2NiSb
1.0
2.121 1.224 7.453
-2.121 1.224 7.453
0.000 -2.449 7.453
La Ni Sb
2 1 1
Direct
0.000 0.000 0.000
0.186 0.186 0.186
0.741 0.741 0.741
0.431 0.431 0.431
```

Entry from Alexandria via LeMat-Bulk: a crystal of LaNiSb2 relaxed with PBEsol (SCAN).

- SG = P4/mmm (123)
- crystal system = tetragonal

```
LaNiSb2
1.0
3.491 0.000 0.000
0.000 3.491 0.000
0.000 0.000 7.247
La Ni Sb
1 1 2
Direct
0.000 0.000 0.000
0.000 0.000 0.500
0.500 0.500 0.306
0.500 0.500 0.694
```

Entry from Alexandria via LeMat-Bulk: a crystal of LaNi2Sb relaxed with PBEsol (SCAN).

- SG = I-4m2 (119)
- crystal system = tetragonal

```
LaNi2Sb
1.0
-2.018 2.018 4.682
2.018 -2.018 4.682
2.018 2.018 -4.682
La Ni Sb
1 2 1
Direct
0.000 0.000 0.000
0.500 0.500 0.000
0.750 0.250 0.500
0.250 0.750 0.500
```

Entry from Alexandria via LeMat-Bulk: a crystal of LaNiSb2 relaxed with PBEsol (SCAN).

- SG = P4/nmm (129)
- crystal system = tetragonal

```
LaNiSb2
1.0
4.380 0.000 0.000
0.000 4.380 0.000
0.000 0.000 9.828
La Ni Sb
2 2 4
Direct
0.250 0.250 0.240
0.750 0.750 0.760
0.250 0.750 0.000
0.750 0.250 0.000
0.250 0.250 0.871
0.250 0.750 0.500
0.750 0.250 0.500
0.750 0.750 0.129
```

The following total energy values (in eV per atom) correspond, in order, to the records above: -35.538; -33.693; -28.194; -34.296.
The following formation energy without anion corrections values (in eV/atom) correspond, in order, to the records above: -0.627; -0.243; -0.016; -0.846.